Compound: Co3Rh4O12
Source: Alexandria
Functional: GGA+U
Structure: relaxed

Its space-group type is No. 204. The electronic total energy is -6.2408 eV per atom. Its total moment is 3.74 μB/f.u. For the density of states at the Fermi level, the calculation gives 0.549 states/eV/atom.

Unit cell a=6.434 b=6.434 c=6.434 alpha=109.47 beta=109.47 gamma=109.47
Site moments in Bohr magnetons follow the coordinates.
Atoms (fractional coordinates):
O (0.678, 0.853, 0.175)  -0.06
O (0.322, 0.147, 0.825)  -0.06
O (0.503, 0.825, 0.678)  -0.06
Co (0.000, 0.500, 0.500)  1.91
O (0.678, 0.503, 0.825)  -0.06
Rh (0.500, 0.500, 0.500)  -0.33
Rh (0.000, 0.000, 0.500)  -0.33
Rh (0.000, 0.500, 0.000)  -0.33
O (0.322, 0.497, 0.175)  -0.06
O (0.853, 0.175, 0.678)  -0.06
O (0.147, 0.825, 0.322)  -0.06
Co (0.500, 0.000, 0.500)  1.91
Rh (0.500, 0.000, 0.000)  -0.33
O (0.497, 0.175, 0.322)  -0.06
O (0.825, 0.678, 0.503)  -0.06
O (0.175, 0.678, 0.853)  -0.06
O (0.175, 0.322, 0.497)  -0.06
Co (0.500, 0.500, 0.000)  1.91
O (0.825, 0.322, 0.147)  -0.06